Compound: La2Zn4InAg3
Source: Alexandria
Functional: PBE-GGA
Structure: optimized geometry

a b c (Å): 4.3352 4.3352 11.6710
angles (deg): 90.00 90.00 90.00
Space group P-4m2 (No. 115)
Unique sites:
La  0.0000  0.5000  0.2460 (multiplicity 2)
Zn  0.0000  0.0000  0.0000 (multiplicity 1)
Zn  0.0000  0.5000  0.6440 (multiplicity 2)
Zn  0.5000  0.5000  0.0000 (multiplicity 1)
In  0.0000  0.0000  0.5000 (multiplicity 1)
Ag  0.0000  0.5000  0.8655 (multiplicity 2)
Ag  0.5000  0.5000  0.5000 (multiplicity 1)

- M_tot: 0.0000 μB per atom
- E_tot: -2.900 eV/atom
- E_form: -0.276 eV per atom


Compound: La2ZnIn6Ag
Source: Alexandria
Functional: PBE-GGA
Structure: optimized geometry

a b c (Å): 7.9193 9.4222 7.2456
angles (deg): 90.00 90.00 90.00
Space group Pmmn (No. 59, origin choice 2)
Unique sites:
La  0.2500  0.0021  0.2424 (multiplicity 4)
Zn  0.2500  0.2500  0.5385 (multiplicity 2)
In  0.0590  0.2500  0.9214 (multiplicity 4)
In  0.0635  0.7500  0.5545 (multiplicity 4)
In  0.2500  0.0067  0.7367 (multiplicity 4)
Ag  0.2500  0.7500  0.9231 (multiplicity 2)

- M_tot: 0.0000 μB per atom
- E_tot: -3.270 eV/atom
- E_form: -0.228 eV per atom


Compound: La2Zn3InAg4
Source: Alexandria
Functional: PBE-GGA
Structure: optimized geometry

a b c (Å): 4.3106 4.3106 11.9711
angles (deg): 90.00 90.00 90.00
Space group P-4m2 (No. 115)
Unique sites:
La  0.0000  0.5000  0.2410 (multiplicity 2)
Zn  0.0000  0.5000  0.8672 (multiplicity 2)
Zn  0.5000  0.5000  0.5000 (multiplicity 1)
In  0.0000  0.0000  0.5000 (multiplicity 1)
Ag  0.0000  0.0000  0.0000 (multiplicity 1)
Ag  0.0000  0.5000  0.6493 (multiplicity 2)
Ag  0.5000  0.5000  0.0000 (multiplicity 1)

- M_tot: 0.0000 μB per atom
- E_tot: -3.041 eV/atom
- E_form: -0.259 eV per atom


Compound: LaZn2InAg5
Source: Alexandria
Functional: PBE-GGA
Structure: optimized geometry

a b c (Å): 5.0089 5.0089 7.6548
angles (deg): 90.00 90.00 90.00
Space group P4/mmm (No. 123)
Unique sites:
La  0.0000  0.0000  0.0000 (multiplicity 1)
Zn  0.5000  0.5000  0.3431 (multiplicity 2)
In  0.0000  0.0000  0.5000 (multiplicity 1)
Ag  0.0000  0.5000  0.2587 (multiplicity 4)
Ag  0.5000  0.5000  0.0000 (multiplicity 1)

- M_tot: 0.0000 μB per atom
- E_tot: -2.733 eV/atom
- E_form: -0.014 eV per atom


Compound: LaZnIn2Ag
Source: Alexandria
Functional: PBE-GGA
Structure: optimized geometry

a b c (Å): 5.0574 5.0574 5.6587
angles (deg): 90.00 90.00 90.00
Space group P4/mmm (No. 123)
Unique sites:
La  0.0000  0.0000  0.0000 (multiplicity 1)
Zn  0.0000  0.0000  0.5000 (multiplicity 1)
In  0.0000  0.5000  0.5000 (multiplicity 2)
Ag  0.5000  0.5000  0.0000 (multiplicity 1)

- M_tot: 0.0000 μB per atom
- E_tot: -2.739 eV/atom
- E_form: 0.167 eV per atom


Compound: La2Zn3In4Ag
Source: Alexandria
Functional: PBE-GGA
Structure: optimized geometry

a b c (Å): 4.5771 4.5771 11.3458
angles (deg): 90.00 90.00 90.00
Space group P-4m2 (No. 115)
Unique sites:
La  0.0000  0.5000  0.2491 (multiplicity 2)
Zn  0.0000  0.0000  0.0000 (multiplicity 1)
Zn  0.0000  0.5000  0.6382 (multiplicity 2)
In  0.0000  0.0000  0.5000 (multiplicity 1)
In  0.0000  0.5000  0.8667 (multiplicity 2)
In  0.5000  0.5000  0.5000 (multiplicity 1)
Ag  0.5000  0.5000  0.0000 (multiplicity 1)

- M_tot: 0.0000 μB per atom
- E_tot: -3.105 eV/atom
- E_form: -0.357 eV per atom


Compound: La2ZnIn4Ag3
Source: Alexandria
Functional: PBE-GGA
Structure: optimized geometry

a b c (Å): 4.6419 4.6419 11.4532
angles (deg): 90.00 90.00 90.00
Space group P-4m2 (No. 115)
Unique sites:
La  0.0000  0.5000  0.2391 (multiplicity 2)
Zn  0.5000  0.5000  0.0000 (multiplicity 1)
In  0.0000  0.0000  0.5000 (multiplicity 1)
In  0.0000  0.5000  0.8710 (multiplicity 2)
In  0.5000  0.5000  0.5000 (multiplicity 1)
Ag  0.0000  0.0000  0.0000 (multiplicity 1)
Ag  0.0000  0.5000  0.6382 (multiplicity 2)

- M_tot: 0.0000 μB per atom
- E_tot: -3.380 eV/atom
- E_form: -0.317 eV per atom


Compound: Li4In3Ag4
Source: Alexandria
Functional: PBE-GGA
Structure: optimized geometry

a b c (Å): 2.9226 4.6685 14.9743
angles (deg): 98.90 95.23 90.16
Space group P-1 (No. 2)
Unique sites:
Li  0.0494  0.0451  0.0915 (multiplicity 2)
Li  0.1894  0.6860  0.3719 (multiplicity 2)
In  0.3598  0.8620  0.7217 (multiplicity 2)
In  0.5000  0.5000  0.0000 (multiplicity 1)
Ag  0.0919  0.5931  0.1876 (multiplicity 2)
Ag  0.2312  0.2312  0.4615 (multiplicity 2)

- M_tot: 0.0000 μB per atom
- E_tot: -2.670 eV/atom
- E_form: -0.190 eV per atom